## Zn3Ag5 (GGA-PBEsol)

Data for a relaxed Zn3Ag5 crystal.

- Symmetry: I4/mcm, No. 140
- Energy above the most stable polymorph in this dataset: 42 meV/atom
- Calculated formation energy: -9 kJ/mol of formula units
- Density of states at the Fermi level: 2.32 states/eV/f.u.
- Total magnetic moment: 0.0 Bohr magnetons per cell

Cell lengths 7.471, 7.471, 7.471 Å; angles 96.67, 96.67, 140.16 degrees
Element x y z (fractional)
Zn1 0.167 0.667 0.834
Zn2 0.250 0.250 0.000
Zn3 0.333 0.167 0.500
Zn4 0.667 0.833 0.500
Zn5 0.750 0.750 0.000
Zn6 0.833 0.333 0.166
Ag1 0.076 0.225 0.301
Ag2 0.225 0.924 0.148
Ag3 0.250 0.750 0.500
Ag4 0.275 0.424 0.699
Ag5 0.424 0.725 0.148
Ag6 0.576 0.275 0.852
Ag7 0.725 0.576 0.301
Ag8 0.750 0.250 0.500
Ag9 0.775 0.076 0.852
Ag10 0.924 0.775 0.699

---

## HoAl10Re2 (GGA-PBEsol)

Data for a relaxed HoAl10Re2 crystal.

- Symmetry: Cmcm, No. 63
- Calculated formation energy: -433 kJ/mol of formula units
- Density of states at the Fermi level: 4.23 states/eV/f.u.
- Total magnetic moment: 0.0 Bohr magnetons per cell

Cell lengths 6.901, 6.901, 26.777 Å; angles 90.00, 90.00, 96.13 degrees
Element x y z (fractional)
Ho1 0.118 0.882 0.750
Ho2 0.375 0.625 0.585
Ho3 0.375 0.625 0.915
Ho4 0.625 0.375 0.085
Ho5 0.625 0.375 0.415
Ho6 0.882 0.118 0.250
Al1 0.028 0.533 0.671
Al2 0.028 0.533 0.829
Al3 0.029 0.273 0.581
Al4 0.029 0.273 0.919
Al5 0.096 0.904 0.633
Al6 0.096 0.904 0.867
Al7 0.101 0.322 0.750
Al8 0.120 0.377 0.083
Al9 0.120 0.377 0.417
Al10 0.122 0.878 0.522
Al11 0.122 0.878 0.978
Al12 0.130 0.870 0.179
Al13 0.130 0.870 0.321
Al14 0.237 0.464 0.250
Al15 0.273 0.029 0.081
Al16 0.273 0.029 0.419
Al17 0.294 0.294 0.000
Al18 0.294 0.294 0.500
Al19 0.322 0.101 0.250
Al20 0.335 0.665 0.034
Al21 0.335 0.665 0.466
Al22 0.375 0.625 0.145
Al23 0.375 0.625 0.355
Al24 0.377 0.120 0.583
Al25 0.377 0.120 0.917
Al26 0.408 0.592 0.700
Al27 0.408 0.592 0.800
Al28 0.464 0.237 0.750
Al29 0.467 0.972 0.671
Al30 0.467 0.972 0.829
Al31 0.533 0.028 0.171
Al32 0.533 0.028 0.329
Al33 0.536 0.763 0.250
Al34 0.592 0.408 0.200
Al35 0.592 0.408 0.300
Al36 0.623 0.880 0.083
Al37 0.623 0.880 0.417
Al38 0.625 0.375 0.645
Al39 0.625 0.375 0.855
Al40 0.665 0.335 0.534
Al41 0.665 0.335 0.966
Al42 0.678 0.899 0.750
Al43 0.706 0.706 0.000
Al44 0.706 0.706 0.500
Al45 0.727 0.971 0.581
Al46 0.727 0.971 0.919
Al47 0.763 0.536 0.750
Al48 0.870 0.130 0.679
Al49 0.870 0.130 0.821
Al50 0.878 0.122 0.022
Al51 0.878 0.122 0.478
Al52 0.880 0.623 0.583
Al53 0.880 0.623 0.917
Al54 0.899 0.678 0.250
Al55 0.904 0.096 0.133
Al56 0.904 0.096 0.367
Al57 0.971 0.727 0.081
Al58 0.971 0.727 0.419
Al59 0.972 0.467 0.171
Al60 0.972 0.467 0.329
Re1 0.000 0.500 0.000
Re2 0.000 0.500 0.500
Re3 0.245 0.251 0.663
Re4 0.245 0.251 0.837
Re5 0.251 0.245 0.163
Re6 0.251 0.245 0.337
Re7 0.500 0.000 0.000
Re8 0.500 0.000 0.500
Re9 0.749 0.755 0.663
Re10 0.749 0.755 0.837
Re11 0.755 0.749 0.163
Re12 0.755 0.749 0.337

---

## YZnIn2Pb (GGA-PBEsol)

Data for a relaxed YZnIn2Pb crystal.

- Symmetry: P4/mmm, No. 123
- Calculated formation energy: 375 kJ/mol of formula units
- Density of states at the Fermi level: 5.70 states/eV/f.u.
- Total magnetic moment: 0.0 Bohr magnetons per cell

Cell lengths 5.878, 5.878, 5.728 Å; angles 90.00, 90.00, 90.00 degrees
Element x y z (fractional)
Y1 0.000 0.000 0.000
Zn1 0.500 0.500 0.500
In1 0.000 0.500 0.000
In2 0.500 0.000 0.000
Pb1 0.000 0.000 0.500